Computed, not measured: a relaxed structure of La2MgS at the PBE-GGA level of DFT.

Structure (POSCAR):
```
La2MgS
1.0
-3.0693 2.3421 0.5513
-2.5158 -0.7299 2.8893
3.7903 6.4349 7.5580
S Mg La
1 1 2
Direct
0.5000 0.5000 0.5000
0.0000 0.0000 0.0000
0.1119 0.1119 0.6644
0.8881 0.8881 0.3356
```

Calculated values
As for the polymorph energy (0 for the lowest one): 0 meV per atom.



Computed, not measured: a relaxed structure of La2MgS at the PBE-GGA level of DFT.

Structure (POSCAR):
```
La2MgS
1.0
0.0000 3.7672 3.7672
3.7672 0.0000 3.7672
3.7672 3.7672 0.0000
S Mg La
1 1 2
Direct
0.5000 0.5000 0.5000
0.0000 0.0000 0.0000
0.2500 0.2500 0.2500
0.7500 0.7500 0.7500
```

Calculated values
As for the polymorph energy (0 for the lowest one): 199 meV per atom.



Computed, not measured: a relaxed structure of La6MgS8 at the PBE-GGA level of DFT.

Structure (POSCAR):
```
La6MgS8
1.0
7.2053 0.2922 2.5831
1.9125 6.9530 2.5831
0.3677 0.2922 7.6455
La Mg S
6 1 8
Direct
0.0804 0.4693 0.6977
0.3023 0.9196 0.5307
0.5307 0.3023 0.9196
0.4693 0.6977 0.0804
0.6977 0.0804 0.4693
0.9196 0.5307 0.3023
0.0000 0.0000 0.0000
0.1778 0.6573 0.9088
0.0912 0.8222 0.3427
0.3427 0.0912 0.8222
0.6708 0.6708 0.6708
0.3292 0.3292 0.3292
0.6573 0.9088 0.1778
0.9088 0.1778 0.6573
0.8222 0.3427 0.0912
```



Computed, not measured: a relaxed structure of La2MgS2 at the PBE-GGA level of DFT.

Structure (POSCAR):
```
La2MgS2
1.0
8.3862 0.0000 0.0000
0.0000 8.3862 0.0000
0.0000 0.0000 3.6399
S Mg La
4 2 4
Direct
0.1435 0.6435 0.5000
0.6435 0.8565 0.5000
0.8565 0.3565 0.5000
0.3565 0.1435 0.5000
0.0000 0.0000 0.0000
0.5000 0.5000 0.0000
0.3465 0.8465 0.0000
0.8465 0.6535 0.0000
0.6535 0.1535 0.0000
0.1535 0.3465 0.0000
```

Calculated values
As for the polymorph energy (0 for the lowest one): 92 meV per atom.



Computed, not measured: a relaxed structure of LaMgS2 at the PBE-GGA level of DFT.

Structure (POSCAR):
```
LaMgS2
1.0
6.2182 0.0000 0.0000
0.0000 6.2182 0.0000
3.1091 3.1091 5.9222
S Mg La
4 2 2
Direct
0.5762 0.1250 0.2500
0.1738 0.6250 0.2500
0.3750 0.4238 0.7500
0.8750 0.8262 0.7500
0.5000 0.5000 0.0000
0.2500 0.7500 0.5000
0.0000 0.0000 0.0000
0.7500 0.2500 0.5000
```



Computed, not measured: a relaxed structure of LaMgS2 at the PBE-GGA level of DFT.

Structure (POSCAR):
```
LaMgS2
1.0
-1.3900 2.6488 -2.4479
-0.2910 -0.8141 -3.7673
-6.8717 -1.7736 -1.0688
La Mg S
1 1 2
Direct
0.4993 0.4993 0.5021
0.6687 0.6687 0.9938
0.0703 0.0703 0.7892
0.2617 0.2617 0.2148
```



Computed, not measured: a relaxed structure of La5MgS8 at the PBE-GGA level of DFT.

Structure (POSCAR):
```
La5MgS8
1.0
7.1401 0.0000 -2.4005
-3.5883 6.1059 -2.5661
0.0366 0.0000 7.5327
La Mg S
5 1 8
Direct
0.0190 0.3892 0.1406
0.8594 0.8784 0.2487
0.7513 0.6108 0.6298
0.5000 0.0000 0.5000
0.3702 0.1216 0.9810
0.2500 0.5000 0.7500
0.1474 0.7449 0.0111
0.9889 0.1363 0.7338
0.7553 0.2405 0.3542
0.6458 0.4011 0.8863
0.4852 0.5989 0.2447
0.5975 0.8637 0.8526
0.2662 0.2551 0.4025
0.1137 0.7595 0.5148
```



Computed, not measured: a relaxed structure of LaMg3S at the PBE-GGA level of DFT.

Structure (POSCAR):
```
LaMg3S
1.0
-0.4454 -3.8138 3.3688
-0.9630 -3.2574 -3.8150
4.9966 -0.9678 -0.4350
S Mg La
1 3 1
Direct
0.0000 0.0000 0.0000
0.0000 0.5000 0.0000
0.0000 0.0000 0.5000
0.5000 0.0000 0.0000
0.5000 0.5000 0.5000
```

Calculated values
As for the polymorph energy (0 for the lowest one): 0 meV per atom.



Computed, not measured: a relaxed structure of LaMgS2 at the PBE-GGA level of DFT.

Structure (POSCAR):
```
LaMgS2
1.0
2.4677 0.0000 7.9297
-1.2339 2.1371 7.9297
-1.2339 -2.1371 7.9297
S Mg La
2 1 1
Direct
0.8966 0.8966 0.8966
0.1034 0.1034 0.1034
0.0000 0.0000 0.0000
0.5000 0.5000 0.5000
```



Computed, not measured: a relaxed structure of La2MgS at the PBE-GGA level of DFT.

Structure (POSCAR):
```
La2MgS
1.0
-2.0798 -5.9164 -5.7243
4.0371 -5.8785 4.6089
-1.8921 -6.5347 1.1440
S Mg La
2 2 4
Direct
0.0000 0.0000 0.0000
0.7500 0.2500 0.5000
0.5000 0.5000 0.0000
0.2500 0.7500 0.5000
0.6814 0.1250 0.2500
0.0686 0.6250 0.2500
0.3750 0.3186 0.7500
0.8750 0.9314 0.7500
```

Calculated values
As for the polymorph energy (0 for the lowest one): 46 meV per atom.



Computed, not measured: a relaxed structure of LaMgSc2S at the PBE-GGA level of DFT.

Structure (POSCAR):
```
LaMgSc2S
1.0
-4.0814 -0.9247 2.6325
2.7529 -0.5750 4.0661
-0.5049 5.3595 1.0998
Sc S Mg La
2 1 1 1
Direct
0.0000 0.5000 0.0000
0.5000 0.0000 0.0000
0.0000 0.0000 0.0000
0.5000 0.5000 0.5000
0.0000 0.0000 0.5000
```



Computed, not measured: a relaxed structure of La2MgScS at the PBE-GGA level of DFT.

Structure (POSCAR):
```
La2MgScS
1.0
5.6088 0.0000 0.0000
0.0000 5.6088 0.0000
0.0000 0.0000 4.8450
Sc S Mg La
1 1 1 2
Direct
0.0000 0.0000 0.5000
0.0000 0.0000 0.0000
0.5000 0.5000 0.5000
0.0000 0.5000 0.0000
0.5000 0.0000 0.0000
```



Computed, not measured: a relaxed structure of SrLa2MgS at the PBE-GGA level of DFT.

Structure (POSCAR):
```
SrLa2MgS
1.0
5.6781 0.0000 0.0000
0.0000 5.2746 0.0000
0.0000 0.0000 5.6781
Sr S Mg La
1 1 1 2
Direct
0.5000 0.5000 0.5000
0.0000 0.0000 0.0000
0.0000 0.5000 0.0000
0.0000 0.0000 0.5000
0.5000 0.0000 0.0000
```



Computed, not measured: a relaxed structure of La3Tb3MgS8 at the PBE-GGA level of DFT.

Structure (POSCAR):
```
La3Tb3MgS8
1.0
7.9547 0.0005 0.0009
-3.9776 6.8885 -0.0239
0.0004 -4.5689 6.6801
La Tb Mg S
3 3 1 8
Direct
0.0000 0.0000 0.0000
0.0000 0.5000 0.0000
0.5000 0.5000 0.0000
0.5000 0.0000 0.5000
0.5000 0.5000 0.5000
0.0000 0.5000 0.5000
0.0000 0.0000 0.5000
0.2557 0.5115 0.2672
0.7443 0.4885 0.7328
0.7632 0.5265 0.2740
0.2368 0.4735 0.7260
0.7632 0.0107 0.2739
0.2368 0.9893 0.7261
0.2478 0.0107 0.2737
0.7522 0.9893 0.7263
```



Computed, not measured: a relaxed structure of LaMgTiS4 at the PBE-GGA level of DFT.

Structure (POSCAR):
```
LaMgTiS4
1.0
-3.7585 3.9932 5.5493
3.7585 -3.9932 5.5493
3.7585 3.9932 -5.5493
La Mg Ti S
2 2 2 8
Direct
0.0000 0.5000 0.5000
0.5000 0.5000 0.0000
0.1242 0.8742 0.2500
0.8758 0.1258 0.7500
0.5000 0.0000 0.0000
0.5000 0.5000 0.5000
0.7292 0.7569 0.9723
0.7245 0.7356 0.5111
0.7245 0.2134 0.9889
0.7154 0.2431 0.4723
0.2755 0.7866 0.0111
0.2846 0.7569 0.5277
0.2708 0.2431 0.0277
0.2755 0.2644 0.4889
```



Computed, not measured: a relaxed structure of La3Mg2TiS8 at the PBE-GGA level of DFT.

Structure (POSCAR):
```
La3Mg2TiS8
1.0
6.8481 -4.0473 0.0033
6.8481 4.0473 0.0033
4.4529 0.0000 6.5916
La Mg Ti S
3 2 1 8
Direct
0.0000 0.5000 0.5000
0.5000 0.0000 0.5000
0.5000 0.5000 0.0000
0.8743 0.8743 0.8743
0.1257 0.1257 0.1257
0.5000 0.5000 0.5000
0.2638 0.7291 0.7291
0.2709 0.7362 0.2709
0.2516 0.2516 0.2516
0.2709 0.2709 0.7362
0.7484 0.7484 0.7484
0.7291 0.7291 0.2638
0.7362 0.2709 0.2709
0.7291 0.2638 0.7291
```



Computed, not measured: a relaxed structure of LaMgVS4 at the PBE-GGA level of DFT.

Structure (POSCAR):
```
LaMgVS4
1.0
6.4809 -4.1061 0.9779
4.0292 5.6836 -3.3586
-4.4551 1.3919 6.1671
La Mg V S
2 2 2 8
Direct
0.0000 0.5000 0.5000
0.5000 0.5000 0.0000
0.8754 0.1254 0.7500
0.1246 0.8746 0.2500
0.5000 0.5000 0.5000
0.5000 0.0000 0.0000
0.2775 0.2402 0.0373
0.2739 0.7833 0.0094
0.2739 0.2645 0.4906
0.2971 0.7598 0.5373
0.7261 0.7355 0.5094
0.7029 0.2402 0.4627
0.7225 0.7598 0.9627
0.7261 0.2167 0.9906
```



Computed, not measured: a relaxed structure of La3Mg2WS8 at the PBE-GGA level of DFT.

Structure (POSCAR):
```
La3Mg2WS8
1.0
-2.8973 6.3211 3.7468
-6.4986 -0.9200 4.3945
0.7293 0.3401 7.8576
La Mg W S
3 2 1 8
Direct
0.5000 0.0000 0.5000
0.0000 0.5000 0.5000
0.5000 0.5000 0.0000
0.1263 0.1263 0.1263
0.8737 0.8737 0.8737
0.5000 0.5000 0.5000
0.2720 0.7364 0.2720
0.2636 0.7280 0.7280
0.7478 0.7478 0.7478
0.7280 0.7280 0.2636
0.2522 0.2522 0.2522
0.2720 0.2720 0.7364
0.7280 0.2636 0.7280
0.7364 0.2720 0.2720
```



Computed, not measured: a relaxed structure of LaMgWS4 at the PBE-GGA level of DFT.

Structure (POSCAR):
```
LaMgWS4
1.0
-3.5758 4.0448 5.5618
3.5758 -4.0448 5.5618
3.5758 4.0448 -5.5618
La Mg W S
2 2 2 8
Direct
0.2406 0.4937 0.7469
0.7468 0.4937 0.2531
0.3878 0.8878 0.5000
0.1379 0.1379 0.0000
0.7490 0.9440 0.1950
0.7490 0.5540 0.8050
0.0011 0.7551 0.2460
0.9693 0.7447 0.7755
0.9693 0.1938 0.2245
0.9492 0.2402 0.7091
0.5300 0.7826 0.2526
0.5091 0.7551 0.7540
0.5311 0.2402 0.2909
0.5300 0.2773 0.7474
```



Computed, not measured: a relaxed structure of La3Y3MgS8 at the PBE-GGA level of DFT.

Structure (POSCAR):
```
La3Y3MgS8
1.0
7.9385 -0.0001 -0.0001
-3.9693 6.8756 -0.0244
-0.0001 -4.5607 6.6774
La Y Mg S
3 3 1 8
Direct
0.0000 0.0000 0.0000
0.0000 0.5000 0.0000
0.5000 0.5000 0.0000
0.5000 0.0000 0.5000
0.5000 0.5000 0.5000
0.0000 0.5000 0.5000
0.0000 0.0000 0.5000
0.2561 0.5121 0.2682
0.7439 0.4879 0.7318
0.7629 0.5257 0.2742
0.2371 0.4743 0.7258
0.7629 0.0113 0.2743
0.2371 0.9887 0.7257
0.2484 0.0114 0.2744
0.7516 0.9886 0.7256
```



Computed, not measured: a relaxed structure of La2MgSb at the PBE-GGA level of DFT.

Structure (POSCAR):
```
La2MgSb
1.0
6.3456 0.0137 0.0000
2.8363 5.6764 0.0000
-4.5909 -2.8451 3.3309
La Mg Sb
2 1 1
Direct
0.0000 0.0000 0.0000
0.2500 0.7500 0.5000
0.5000 0.5000 0.0000
0.7500 0.2500 0.5000
```

Calculated values
As for the polymorph energy (0 for the lowest one): 68 meV per atom.



Computed, not measured: a relaxed structure of La2MgSb at the PBE-GGA level of DFT.

Structure (POSCAR):
```
La2MgSb
1.0
5.2370 0.5235 0.0000
-0.5237 5.2370 0.0000
0.0000 0.0000 4.3493
La Mg Sb
2 1 1
Direct
0.0000 0.0000 0.0000
0.5000 0.5000 0.0000
0.5000 0.0000 0.5000
0.0000 0.5000 0.5000
```

Calculated values
As for the polymorph energy (0 for the lowest one): 0 meV per atom.



Computed, not measured: a relaxed structure of LaMgSb2 at the PBE-GGA level of DFT.

Structure (POSCAR):
```
LaMgSb2
1.0
5.0608 0.0000 0.0000
0.0000 4.2979 0.0077
0.0000 -0.0090 5.0611
La Mg Sb
1 1 2
Direct
0.0000 0.6251 0.3749
0.5000 0.6246 0.8757
0.0000 0.1251 0.8747
0.5000 0.1252 0.3747
```



E, record by record: -4.62; -4.42; -6.25; -5.11; -5.08; -5.35; -6.26; -2.88; -5.10; -4.57; -5.33; -5.12; -4.01; -6.24; -5.95; -5.88; -5.93; -6.02; -6.27; -6.61; -4.44; -4.50; -4.38 eV per atom